The following is a PBE calculation of ReOs3I after structural relaxation, from Alexandria via LeMat-Bulk.

a = 4.740 Å, b = 4.740 Å, c = 4.740 Å
α = 90.00°, β = 90.00°, γ = 90.00°
Each line ends with the local moment (μB).
Element x y z (fractional)
I 0.000 0.000 0.000  0.02
Re 0.500 0.500 0.500  2.53
Os 0.000 0.500 0.000  -0.12
Os 0.000 0.000 0.500  -0.06
Os 0.500 0.000 0.000  -0.24

Computed properties:
Polymorph energy (0 for the lowest one) in eV/f.u.: 4.670
DOS at the Fermi energy in states/eV/f.u.: 8.82
Calculated density in g/cm3: 13.8
Volume in Å³ per atom: 21.3
SG: Pm-3m
Formation energy without anion corrections in eV/atom: 3.34